Entry 1:
VASP calculation (PBE-GGA) on a relaxed structure of Cu5Ag3.

Calculated values
Distance to the lowest polymorph of the same formula in kJ per mole of atoms: 3.38
ΔE_f in eV/atom: 0.082
Uncorrected energy in Ry per atom: -0.24257

Lattice parameters (Å, degrees): 4.842 4.842 9.087 105.82 105.82 33.62
Fractional positions:
Cu: 0.000 0.000 0.000
Cu: 0.243 0.243 0.382
Cu: 0.518 0.518 0.246
Cu: 0.706 0.706 0.592
Cu: 0.979 0.979 0.462
Ag: 0.237 0.237 0.860
Ag: 0.465 0.465 0.715
Ag: 0.762 0.762 0.137

***

Entry 2:
VASP calculation (PBE-GGA) on a relaxed structure of CuAg.

Calculated values
ΔE_f in eV/atom: 0.113
Uncorrected energy in Ry per atom: -0.23207

Lattice parameters (Å, degrees): 11.304 11.304 4.756 94.23 94.23 14.36
Fractional positions:
Cu: 0.000 0.000 0.000
Cu: 0.210 0.210 0.417
Cu: 0.407 0.407 0.815
Cu: 0.503 0.503 0.527
Cu: 0.807 0.807 0.615
Ag: 0.100 0.100 0.711
Ag: 0.308 0.308 0.114
Ag: 0.602 0.602 0.216
Ag: 0.706 0.706 0.905
Ag: 0.910 0.910 0.326

***

Entry 3:
VASP calculation (PBE-GGA) on a relaxed structure of Cu3Ag7.

Calculated values
Distance to the lowest polymorph of the same formula in kJ per mole of atoms: 4.42
ΔE_f in eV/atom: 0.075
Uncorrected energy in Ry per atom: -0.22177

Lattice parameters (Å, degrees): 2.875 3.907 14.404 90.00 90.00 90.00
Fractional positions:
Cu: 0.000 0.000 0.000
Cu: 0.000 0.000 0.190
Cu: 0.000 0.000 0.810
Ag: 0.000 0.000 0.393
Ag: 0.000 0.000 0.607
Ag: 0.500 0.500 0.096
Ag: 0.500 0.500 0.287
Ag: 0.500 0.500 0.500
Ag: 0.500 0.500 0.713
Ag: 0.500 0.500 0.904

***

Entry 4:
VASP calculation (PBE-GGA) on a relaxed structure of Cu7Ag2.

Calculated values
Distance to the lowest polymorph of the same formula in kJ per mole of atoms: 2.67
ΔE_f in eV/atom: 0.074
Uncorrected energy in Ry per atom: -0.25317

Lattice parameters (Å, degrees): 6.888 6.888 6.486 93.63 93.63 22.73
Fractional positions:
Cu: 0.000 0.000 0.000
Cu: 0.115 0.115 0.694
Cu: 0.233 0.233 0.334
Cu: 0.330 0.330 0.992
Cu: 0.670 0.670 0.008
Cu: 0.767 0.767 0.666
Cu: 0.885 0.885 0.306
Ag: 0.438 0.438 0.661
Ag: 0.562 0.562 0.339

***

Entry 5:
VASP calculation (PBE-GGA) on a relaxed structure of CuAg.

Calculated values
ΔE_f in eV/atom: 0.086
Uncorrected energy in Ry per atom: -0.23407

Lattice parameters (Å, degrees): 2.840 3.584 14.657 90.00 90.00 90.00
Fractional positions:
Cu: 0.000 0.000 0.000
Cu: 0.500 0.500 0.085
Cu: 0.500 0.500 0.282
Cu: 0.500 0.500 0.718
Cu: 0.500 0.500 0.915
Ag: 0.000 0.000 0.184
Ag: 0.000 0.000 0.382
Ag: 0.000 0.000 0.618
Ag: 0.000 0.000 0.816
Ag: 0.500 0.500 0.500

***

Entry 6:
VASP calculation (PBE-GGA) on a relaxed structure of Cu3Ag2.

Calculated values
Distance to the lowest polymorph of the same formula in kJ per mole of atoms: 4.62
ΔE_f in eV/atom: 0.090
Uncorrected energy in Ry per atom: -0.24034

Lattice parameters (Å, degrees): 6.660 2.762 8.007 90.00 103.09 90.00
Fractional positions:
Cu: 0.048 0.250 0.168
Cu: 0.140 0.750 0.450
Cu: 0.224 0.250 0.727
Cu: 0.776 0.750 0.273
Cu: 0.860 0.250 0.550
Cu: 0.952 0.750 0.832
Ag: 0.323 0.750 0.027
Ag: 0.451 0.250 0.343
Ag: 0.549 0.750 0.657
Ag: 0.677 0.250 0.973

***

Question: Which of these has the highest uncorrected energy?
Answer: Cu3Ag7

***

Copy entry 5 word for word.
VASP calculation (PBE-GGA) on a relaxed structure of CuAg.

Calculated values
ΔE_f in eV/atom: 0.086
Uncorrected energy in Ry per atom: -0.23407

Lattice parameters (Å, degrees): 2.840 3.584 14.657 90.00 90.00 90.00
Fractional positions:
Cu: 0.000 0.000 0.000
Cu: 0.500 0.500 0.085
Cu: 0.500 0.500 0.282
Cu: 0.500 0.500 0.718
Cu: 0.500 0.500 0.915
Ag: 0.000 0.000 0.184
Ag: 0.000 0.000 0.382
Ag: 0.000 0.000 0.618
Ag: 0.000 0.000 0.816
Ag: 0.500 0.500 0.500

***

Copy entry 2 word for word.
VASP calculation (PBE-GGA) on a relaxed structure of CuAg.

Calculated values
ΔE_f in eV/atom: 0.113
Uncorrected energy in Ry per atom: -0.23207

Lattice parameters (Å, degrees): 11.304 11.304 4.756 94.23 94.23 14.36
Fractional positions:
Cu: 0.000 0.000 0.000
Cu: 0.210 0.210 0.417
Cu: 0.407 0.407 0.815
Cu: 0.503 0.503 0.527
Cu: 0.807 0.807 0.615
Ag: 0.100 0.100 0.711
Ag: 0.308 0.308 0.114
Ag: 0.602 0.602 0.216
Ag: 0.706 0.706 0.905
Ag: 0.910 0.910 0.326

***

Question: Which value of ΔE_f does entry 4 give?
Answer: 0.074 eV/atom